1.
Below is SmMg2WN4 after structural relaxation, with properties calculated at the PBE level.

For the uncorrected energy, the calculation gives -0.281 Ha/atom. The value obtained for the density is 6.3 g/cm³.

a b c (Å): 5.2561 6.0740 7.2865
angles (deg): 90.00 90.00 90.00
Sites, in units of the cell vectors:
N 0.9537 0.8552 0.0000
N 0.3865 0.6710 0.7171
N 0.4537 0.1448 0.5000
N 0.8865 0.3290 0.2171
N 0.3503 0.2245 0.0000
N 0.8503 0.7755 0.5000
N 0.3865 0.6710 0.2829
N 0.8865 0.3290 0.7829
Mg 0.9874 0.6611 0.2463
Mg 0.4874 0.3389 0.2537
Mg 0.9874 0.6611 0.7537
Mg 0.4874 0.3389 0.7463
W 0.4871 0.8160 0.5000
W 0.9871 0.1840 0.0000
Sm 0.9611 0.1487 0.5000
Sm 0.4611 0.8513 0.0000



2.
Below is SrScF3 after structural relaxation, with properties calculated at the PBE level.

Its relative energy among the computed polymorphs is 0.00 eV per formula unit. The value obtained for the density is 3.6 g/cm³.

a b c (Å): 4.4262 4.4262 4.4262
angles (deg): 90.00 90.00 90.00
Sites, in units of the cell vectors:
Sr 0.5000 0.5000 0.5000
F 0.0000 0.5000 0.0000
F 0.0000 0.0000 0.5000
F 0.5000 0.0000 0.0000
Sc 0.0000 0.0000 0.0000



3.
Below is CdSn2Sb after structural relaxation, with properties calculated at the PBE level.

Its relative energy among the computed polymorphs is 0.08 eV per formula unit. The value obtained for the density is 7.2 g/cm³.

a b c (Å): 5.2534 4.5344 4.5344
angles (deg): 90.00 90.00 90.00
Sites, in units of the cell vectors:
Sn 0.0000 0.0000 0.5000
Sn 0.0000 0.5000 0.0000
Sb 0.5000 0.5000 0.5000
Cd 0.5000 0.0000 0.0000



4.
Below is GdHo2P after structural relaxation, with properties calculated at the PBE level.

Its energy of formation from the pure elements is -0.531 eV/atom. The value obtained for the density is 7.1 g/cm³.

a b c (Å): 3.7224 3.7224 10.3252
angles (deg): 79.62 79.62 60.00
Sites, in units of the cell vectors:
Gd 0.0000 0.0000 0.0000
Ho 0.1130 0.1130 0.6610
Ho 0.8870 0.8870 0.3390
P 0.5000 0.5000 0.5000



5.
Below is La2Tb3Tm after structural relaxation, with properties calculated at the PBE level.

Its energy of formation from the pure elements is 0.095 eV/atom. Its relative energy among the computed polymorphs is 0.00 eV per formula unit. The value obtained for the density is 7.6 g/cm³.

a b c (Å): 5.6510 9.0820 10.1658
angles (deg): 123.32 90.00 108.13
Sites, in units of the cell vectors:
Tm 0.8661 0.7322 0.8572
Tm 0.1339 0.2678 0.1428
Tb 0.7071 0.4142 0.4240
Tb 0.6128 0.2256 0.6542
Tb 0.3872 0.7744 0.3458
Tb 0.2929 0.5858 0.5760
Tb 0.9515 0.9030 0.6050
Tb 0.0485 0.0970 0.3950
La 0.2292 0.4585 0.8697
La 0.4911 0.9822 0.1363
La 0.5089 0.0178 0.8637
La 0.7708 0.5415 0.1303



6.
Below is Sm2HoTm6 after structural relaxation, with properties calculated at the PBE level.

Its energy of formation from the pure elements is 0.110 eV/atom. The value obtained for the density is 8.7 g/cm³.

a b c (Å): 6.4868 9.4809 9.4809
angles (deg): 95.93 80.85 80.85
Sites, in units of the cell vectors:
Sm 0.3728 0.3318 0.3827
Sm 0.1272 0.6173 0.6682
Sm 0.6272 0.6682 0.6173
Sm 0.8728 0.3827 0.3318
Tm 0.1853 0.0436 0.2215
Tm 0.0032 0.2761 0.6516
Tm 0.6853 0.2215 0.0436
Tm 0.2690 0.9408 0.5387
Tm 0.8147 0.9564 0.7785
Tm 0.4968 0.3484 0.7239
Tm 0.2310 0.4613 0.0592
Tm 0.5032 0.6516 0.2761
Tm 0.7690 0.5387 0.9408
Tm 0.7310 0.0592 0.4613
Tm 0.3147 0.7785 0.9564
Tm 0.9968 0.7239 0.3484
Ho 0.7500 0.8816 0.1184
Ho 0.2500 0.1184 0.8816



7.
Below is NbFeSe2 after structural relaxation, with properties calculated at the PBE level.

For the uncorrected energy, the calculation gives -0.233 Ha/atom. The value obtained for the density is 6.1 g/cm³.

a b c (Å): 5.6921 5.6921 6.5675
angles (deg): 64.32 64.32 90.00
Sites, in units of the cell vectors:
Nb 0.0000 0.0000 0.0000
Nb 0.7500 0.2500 0.5000
Se 0.1626 0.6250 0.2500
Se 0.5874 0.1250 0.2500
Se 0.3750 0.4126 0.7500
Se 0.8750 0.8374 0.7500
Fe 0.5000 0.5000 0.0000
Fe 0.2500 0.7500 0.5000



8.
Below is La3DyTm3S8 after structural relaxation, with properties calculated at the PBE level.

For the uncorrected energy, the calculation gives -0.238 Ha/atom. The value obtained for the density is 6.2 g/cm³.

a b c (Å): 7.8766 7.8767 8.0772
angles (deg): 119.18 90.00 120.00
Sites, in units of the cell vectors:
S 0.2459 0.9829 0.7289
S 0.2458 0.4917 0.7288
S 0.2585 0.5170 0.2754
S 0.7541 0.0171 0.2711
S 0.2630 0.0171 0.2711
S 0.7415 0.4830 0.7246
S 0.7542 0.5083 0.2712
S 0.7370 0.9829 0.7289
Tm 0.0000 0.5000 0.5000
Tm 0.5000 0.5000 0.5000
Tm 0.5000 0.0000 0.5000
La 0.0000 0.0000 0.0000
La 0.5000 0.5000 0.0000
La 0.0000 0.5000 0.0000
Dy 0.0000 0.0000 0.5000



9.
Below is BeGeB3 after structural relaxation, with properties calculated at the PBE level.

Its energy of formation from the pure elements is 2.199 eV/atom. Its relative energy among the computed polymorphs is 2.97 eV per formula unit. The value obtained for the density is 2.8 g/cm³.

a b c (Å): 4.0989 4.0989 4.0989
angles (deg): 90.00 90.00 90.00
Sites, in units of the cell vectors:
Ge 0.0000 0.0000 0.0000
B 0.0000 0.5000 0.0000
B 0.0000 0.0000 0.5000
B 0.5000 0.0000 0.0000
Be 0.5000 0.5000 0.5000



10.
Below is Ho2Er3Ge4 after structural relaxation, with properties calculated at the PBE level.

Its energy of formation from the pure elements is -0.863 eV/atom. The value obtained for the density is 8.8 g/cm³.

a b c (Å): 7.5428 7.9077 7.7231
angles (deg): 90.00 90.00 112.58
Sites, in units of the cell vectors:
Ho 0.9415 0.7998 0.8210
Ho 0.5585 0.2002 0.3210
Ho 0.0585 0.2002 0.1790
Ho 0.4415 0.7998 0.6790
Ge 0.6782 0.9120 0.0338
Ge 0.8682 0.4903 0.1333
Ge 0.6318 0.5097 0.6333
Ge 0.1782 0.9120 0.4662
Ge 0.3682 0.4903 0.3667
Ge 0.8218 0.0880 0.5338
Ge 0.3218 0.0880 0.9662
Ge 0.1318 0.5097 0.8667
Er 0.7737 0.7627 0.3376
Er 0.0000 0.5000 0.5000
Er 0.5000 0.5000 0.0000
Er 0.7263 0.2373 0.8376
Er 0.2737 0.7627 0.1624
Er 0.2263 0.2373 0.6624



11.
Below is LaHoTm2 after structural relaxation, with properties calculated at the PBE level.

Its energy of formation from the pure elements is 0.096 eV/atom. Its relative energy among the computed polymorphs is 0.33 eV per formula unit. The value obtained for the density is 8.2 g/cm³.

a b c (Å): 4.0762 4.0762 7.8435
angles (deg): 90.00 90.00 90.00
Sites, in units of the cell vectors:
Ho 0.5000 0.5000 0.0000
Tm 0.0000 0.0000 0.2353
Tm 0.0000 0.0000 0.7647
La 0.5000 0.5000 0.5000



12.
Below is Cd2P after structural relaxation, with properties calculated at the PBE level.

Its energy of formation from the pure elements is 0.258 eV/atom. Its relative energy among the computed polymorphs is 0.51 eV per formula unit. The value obtained for the density is 6.7 g/cm³.

a b c (Å): 15.6353 15.6353 15.6353
angles (deg): 165.05 165.05 21.21
Sites, in units of the cell vectors:
Cd 0.0013 0.5013 0.5000
Cd 0.4987 0.9987 0.5000
Cd 0.4115 0.4115 0.0000
Cd 0.6615 0.1615 0.5000
Cd 0.7513 0.7513 0.0000
Cd 0.5885 0.5885 0.0000
Cd 0.8385 0.3385 0.5000
Cd 0.2487 0.2487 0.0000
P 0.9324 0.9324 0.0000
P 0.0676 0.0676 0.0000
P 0.3176 0.8176 0.5000
P 0.1824 0.6824 0.5000



no.,DOS(E_F) (states/eV per cell)
1,5.90
2,5.25
3,2.00
4,6.54
5,20.03
6,22.23
7,9.23
8,7.29
9,2.23
10,9.10
11,6.54
12,4.76